[1]
Below is an optimized crystal structure of IrOsS2I, with properties calculated at the PBE level.

The structure in POSCAR format:
```
IrOsS2I
1.0
-3.7208 -1.7370 -1.8807
1.3062 -5.0529 2.0827
-2.3349 0.9419 3.7496
I S Ir Os
1 2 1 1
Direct
0.0000 0.5000 0.0000
0.0000 0.0000 0.5000
0.5000 0.0000 0.0000
0.0000 0.0000 0.0000
0.5000 0.5000 0.5000
```

ΔE_f (raw) ... 1.50 eV/atom
E_tot ... -4.48 eV/atom
Space-group type ... P4/mmm (123)
Total magnetic moment ... 3.0 μB per formula unit
N(E_F) ... 7.618 states/eV/f.u.

=====

[2]
Below is an optimized crystal structure of AcPmBr2, with properties calculated at the PBE level.

The structure in POSCAR format:
```
AcPmBr2
1.0
3.8442 0.0000 0.0000
1.9221 3.3292 0.0000
1.9221 1.1097 10.6164
Ac Br Pm
1 2 1
Direct
0.0000 0.0000 0.0000
0.1007 0.1007 0.6979
0.8993 0.8993 0.3021
0.5000 0.5000 0.5000
```

ΔE_f (raw) ... -1.09 eV/atom
E_tot ... -4.14 eV/atom
Space-group type ... R-3m (166)
Total magnetic moment ... 0.7 μB per formula unit
N(E_F) ... 2.714 states/eV/f.u.